*one*
Entry from Alexandria via LeMat-Bulk: a relaxed Sb2TeRhI crystal (PBE-GGA).

Output
The space group is No. 123. The magnetization comes out at 0.00 μB/cell. The density of states at the Fermi level is 0.91 states/eV per atom.

Cell and atoms, written as POSCAR:
```
Sb2TeRhI
1.0
5.203 0.000 0.000
0.000 5.203 0.000
0.000 0.000 5.366
Sb Te Rh I
2 1 1 1
Cartesian
0.000 2.601 0.000
2.601 0.000 0.000
0.000 0.000 2.683
2.601 2.601 0.000
2.601 2.601 2.683
```

=====

*two*
Entry from Alexandria via LeMat-Bulk: a relaxed Sb2TeRhI crystal (PBE-GGA).

Output
The space group is No. 123. The magnetization comes out at 0.00 μB/cell. The density of states at the Fermi level is 1.03 states/eV per atom.

Cell and atoms, written as POSCAR:
```
Sb2TeRhI
1.0
5.190 0.000 0.000
0.000 5.190 0.000
0.000 0.000 5.426
Sb Te Rh I
2 1 1 1
Cartesian
0.000 2.595 0.000
2.595 0.000 0.000
0.000 0.000 2.713
0.000 0.000 0.000
2.595 2.595 2.713
```

=====

Quick one: least stable of them? *one*

=====

*one*
Entry from Alexandria via LeMat-Bulk: a relaxed VSb2RhI crystal (PBE-GGA).

Output
The space group is No. 123. The magnetization comes out at 0.29 μB/cell. The density of states at the Fermi level is 1.49 states/eV per atom.

Cell and atoms, written as POSCAR:
```
VSb2RhI
1.0
5.061 0.000 0.000
0.000 5.061 0.000
0.000 0.000 5.534
V Sb Rh I
1 2 1 1
Cartesian
0.000 0.000 0.000
0.000 2.531 2.767
2.531 0.000 2.767
2.531 2.531 2.767
2.531 2.531 0.000
```

=====

*two*
Entry from Alexandria via LeMat-Bulk: a relaxed VSb2RhI crystal (PBE-GGA).

Output
The space group is No. 123. The magnetization comes out at 1.16 μB/cell. The density of states at the Fermi level is 1.14 states/eV per atom.

Cell and atoms, written as POSCAR:
```
VSb2RhI
1.0
5.051 0.000 0.000
0.000 5.051 0.000
0.000 0.000 5.315
V Sb Rh I
1 2 1 1
Cartesian
0.000 0.000 0.000
0.000 2.525 0.000
2.525 0.000 0.000
2.525 2.525 2.658
0.000 0.000 2.658
```

=====

Quick one: least stable of them? *one*

=====

*one*
Entry from Alexandria via LeMat-Bulk: a relaxed Sb2RhWI crystal (PBE-GGA).

Output
The space group is No. 123. The magnetization comes out at 0.00 μB/cell. The density of states at the Fermi level is 1.23 states/eV per atom.

Cell and atoms, written as POSCAR:
```
Sb2RhWI
1.0
5.170 0.000 0.000
0.000 5.170 0.000
0.000 0.000 5.471
Sb Rh W I
2 1 1 1
Cartesian
0.000 2.585 0.000
2.585 0.000 0.000
0.000 0.000 2.736
2.585 2.585 0.000
2.585 2.585 2.736
```

=====

*two*
Entry from Alexandria via LeMat-Bulk: a relaxed Sb2RhWI crystal (PBE-GGA).

Output
The space group is No. 123. The magnetization comes out at 3.18 μB/cell. The density of states at the Fermi level is 0.93 states/eV per atom.

Cell and atoms, written as POSCAR:
```
Sb2RhWI
1.0
5.069 0.000 0.000
0.000 5.069 0.000
0.000 0.000 5.377
Sb Rh W I
2 1 1 1
Cartesian
0.000 2.535 0.000
2.535 0.000 0.000
0.000 0.000 0.000
2.535 2.535 2.688
0.000 0.000 2.688
```

=====

Quick one: least stable of them? *two*